The following is a DFT calculation (PBE) of a relaxed structure of K2SrBr.

Output
Fermi-level density of states: 2.0 states/eV/f.u.
magnetic moment: 0.0000 μB per atom
energy above the most stable polymorph in this dataset: 311 meV/atom
formation energy (no corrections): -0.47 eV/atom
calculated density: 2010 kg/m³

Cell lengths 8.2266, 8.2266, 8.2266 Å; angles 142.71, 142.71, 53.76 degrees
Last column: nearest neighbours and their distance in Å.
Fractional positions:
K (0.0000, 0.0000, 0.0000)  4 K 3.72
K (0.5000, 0.5000, 0.0000)  4 K 3.72
Br (0.7500, 0.2500, 0.5000)  4 Sr 3.72
Sr (0.2500, 0.7500, 0.5000)  4 Br 3.72